# RbBaLiF4

An optimized crystal structure of RbBaLiF4 (PBE-GGA, Alexandria via LeMat-Bulk).

Energy relative to the elements, uncorrected = -3.24 eV per atom
Raw total energy = -70.0 eV/cell

abc: 5.685 5.619 7.769
angles: 90.00 111.46 90.00
Fractional coordinates of all 14 atoms:
F: 0.936 0.250 0.872
Rb: 0.397 0.250 0.793
F: 0.405 0.750 0.810
F: 0.064 0.750 0.128
F: 0.500 0.000 0.500
F: 0.500 0.500 0.500
Rb: 0.603 0.750 0.207
Li: 0.267 0.750 0.534
F: 0.000 0.500 0.500
F: 0.595 0.250 0.190
F: 0.000 0.000 0.500
Ba: 0.120 0.250 0.241
Li: 0.733 0.250 0.466
Ba: 0.880 0.750 0.759